[1]
A relaxed structure of Sm7Tm4In, computed with PBE.

Cell: 8.6583 8.6583 9.2379 Å, 114.78 114.78 40.06°
Last column: nearest neighbours and their distance in Å.
Sites, in units of the cell vectors:
Sm 0.0000 0.0000 0.0000  2 In 2.97
Sm 0.2878 0.2878 0.1309  3 Sm 3.27-3.50, 3 Tm 3.62-3.63
Sm 0.2967 0.2967 0.7842  1 In 3.00, 2 Tm 3.19-3.29, 2 Sm 3.27-3.36
Sm 0.4250 0.4250 0.5821  3 Sm 3.36-3.75, 5 Tm 3.46-3.70, 1 In 3.49
Sm 0.5750 0.5750 0.4179  3 Sm 3.36-3.75, 5 Tm 3.46-3.70, 1 In 3.49
Sm 0.7033 0.7033 0.2158  1 In 3.00, 2 Tm 3.19-3.29, 2 Sm 3.27-3.36
Sm 0.7122 0.7122 0.8691  3 Sm 3.27-3.50, 3 Tm 3.62-3.63
Tm 0.0767 0.0767 0.6920  4 Sm 3.29-3.62, 1 Tm 3.30
Tm 0.1798 0.1798 0.4001  7 Sm 3.19-3.57
Tm 0.8202 0.8202 0.5999  7 Sm 3.19-3.57
Tm 0.9233 0.9233 0.3080  4 Sm 3.29-3.62, 1 Tm 3.30
In 0.5000 0.5000 0.0000  4 Sm 2.97-3.00

The density of states at the Fermi level comes out at 1.542 states/eV/atom. The calculation puts the theoretical density at 7.67 g/cm3. The symmetry is C2/m, No. 12. As for the formation energy: 0.145 eV per atom. Its calculated total energy is -4.33 eV per atom.

***

[2]
A relaxed structure of SmTm5In3, computed with PBE.

Cell: 9.2659 9.2659 6.6772 Å, 90.00 90.00 120.00°
Last column: nearest neighbours and their distance in Å.
Sites, in units of the cell vectors:
Sm 0.0000 0.0000 0.0000  2 Sm 3.34, 6 Tm 3.50, 6 In 3.55
Sm 0.0000 0.0000 0.5000  2 Sm 3.34, 6 Tm 3.50, 6 In 3.55
Tm 0.0000 0.3316 0.2500  5 In 3.06-3.34
Tm 0.0000 0.6684 0.7500  5 In 3.06-3.34
Tm 0.3316 0.0000 0.2500  5 In 3.06-3.34
Tm 0.3316 0.3316 0.7500  5 In 3.06-3.34
Tm 0.3333 0.6667 0.0000  8 Tm 3.34-3.52, 6 In 3.49
Tm 0.3333 0.6667 0.5000  8 Tm 3.34-3.52, 6 In 3.49
Tm 0.6667 0.3333 0.0000  8 Tm 3.34-3.52, 6 In 3.49
Tm 0.6667 0.3333 0.5000  8 Tm 3.34-3.52, 6 In 3.49
Tm 0.6684 0.0000 0.7500  5 In 3.06-3.34
Tm 0.6684 0.6684 0.2500  5 In 3.06-3.34
In 0.0000 0.3385 0.7500  5 Tm 3.06-3.34
In 0.0000 0.6615 0.2500  5 Tm 3.06-3.34
In 0.3385 0.0000 0.7500  5 Tm 3.06-3.34
In 0.3385 0.3385 0.2500  5 Tm 3.06-3.34
In 0.6615 0.0000 0.2500  5 Tm 3.06-3.34
In 0.6615 0.6615 0.7500  5 Tm 3.06-3.34

The density of states at the Fermi level comes out at 1.032 states/eV/atom. The calculation puts the theoretical density at 8.96 g/cm3. The symmetry is P6_3/mcm, No. 193. As for the formation energy: -0.344 eV per atom. Its calculated total energy is -4.27 eV per atom.

***

Which of these has the lowest calculated total energy?
Sm7Tm4In